Compound: TaBSF2
Source: Alexandria via LeMat-Bulk
Functional: PBE
Structure: optimized geometry

```
5
Lattice="4.066 0.000 0.000 0.000 4.814 0.000 0.000 0.000 4.066" Properties=species:S:1:pos:R:3 pbc="T T T"
S 0.000 2.407 0.000
Ta 0.000 0.000 0.000
F 0.000 0.000 2.033
F 2.033 0.000 0.000
B 2.033 2.407 2.033
```

**Total energy**: -29.3 eV per cell
**SG**: No. 123
**Formation energy from raw total energies**: -0.572 eV per atom